DFT (PBE-GGA) results for a relaxed structure of Lu4Se2N.

Output
space-group type: No. 139
VASP energy: -5.73 eV per atom
E_form (uncorrected): -0.96 eV/atom

extended XYZ file:
```
14
Lattice="4.293 0.000 0.000 0.000 4.293 0.000 0.000 0.000 18.722" Properties=species:S:1:pos:R:3 pbc="T T T"
Lu 0.000 0.000 3.258
Lu 0.000 0.000 15.465
Lu 0.000 2.146 0.000
Lu 0.000 2.146 9.361
Lu 2.146 0.000 0.000
Lu 2.146 0.000 9.361
Lu 2.146 2.146 6.103
Lu 2.146 2.146 12.619
Se 0.000 0.000 6.033
Se 0.000 0.000 12.690
Se 2.146 2.146 3.329
Se 2.146 2.146 15.394
N 0.000 0.000 9.361
N 2.146 2.146 0.000
```